# 1
## Cu2SiNi2 (PBE)

Data for an optimized crystal structure of Cu2SiNi2.

## Properties
**Final energy**: -0.3752 Ry/atom
**Density**: 7320 kg/m3
**Formation energy from raw total energies**: -70 meV/atom
**N(E_F)**: 5.7 states/eV per cell
**Magnetization**: 0.00 μB per cell

a b c (Å): 5.731 5.731 3.764
angles (deg): 90.00 90.00 90.00
Sites, in units of the cell vectors:
Cu 0.160 0.340 0.000
Cu 0.340 0.840 0.000
Cu 0.660 0.160 0.000
Cu 0.840 0.660 0.000
Si 0.000 0.000 0.500
Si 0.500 0.500 0.500
Ni 0.143 0.643 0.500
Ni 0.357 0.143 0.500
Ni 0.643 0.857 0.500
Ni 0.857 0.357 0.500

---

# 2
## CuSiNi14 (PBE)

Data for an optimized crystal structure of CuSiNi14.

## Properties
**Final energy**: -0.4210 Ry/atom
**Density**: 8681 kg/m3
**Formation energy from raw total energies**: -75 meV/atom
**N(E_F)**: 25.5 states/eV per cell
**Magnetization**: 6.74 μB per cell

a b c (Å): 8.131 4.969 4.969
angles (deg): 60.48 90.00 90.00
Sites, in units of the cell vectors:
Cu 0.000 0.000 0.000
Si 0.000 0.501 0.501
Ni 0.000 0.000 0.502
Ni 0.000 0.502 0.000
Ni 0.248 0.333 0.333
Ni 0.248 0.335 0.829
Ni 0.248 0.829 0.335
Ni 0.254 0.832 0.832
Ni 0.500 0.165 0.165
Ni 0.500 0.167 0.664
Ni 0.500 0.664 0.167
Ni 0.500 0.664 0.664
Ni 0.746 0.832 0.832
Ni 0.752 0.333 0.333
Ni 0.752 0.335 0.829
Ni 0.752 0.829 0.335

---

# 3
## CuSi2Ni9 (PBE)

Data for an optimized crystal structure of CuSi2Ni9.

## Properties
**Final energy**: -0.4304 Ry/atom
**Density**: 8240 kg/m3
**Formation energy from raw total energies**: -275 meV/atom
**N(E_F)**: 14.0 states/eV per cell
**Magnetization**: 2.04 μB per cell

a b c (Å): 3.521 3.521 10.532
angles (deg): 90.00 90.00 90.00
Sites, in units of the cell vectors:
Cu 0.000 0.000 0.000
Si 0.000 0.000 0.331
Si 0.000 0.000 0.669
Ni 0.000 0.500 0.171
Ni 0.000 0.500 0.500
Ni 0.000 0.500 0.829
Ni 0.500 0.000 0.171
Ni 0.500 0.000 0.500
Ni 0.500 0.000 0.829
Ni 0.500 0.500 0.000
Ni 0.500 0.500 0.336
Ni 0.500 0.500 0.664

---

# 4
## Cu4SiNi (PBE)

Data for an optimized crystal structure of Cu4SiNi.

## Properties
**Final energy**: -0.3229 Ry/atom
**Density**: 7560 kg/m3
**Formation energy from raw total energies**: 204 meV/atom
**N(E_F)**: 5.7 states/eV per cell
**Magnetization**: 0.00 μB per cell

a b c (Å): 4.731 4.731 4.731
angles (deg): 60.00 60.00 60.00
Sites, in units of the cell vectors:
Cu 0.125 0.125 0.125
Cu 0.125 0.125 0.625
Cu 0.125 0.625 0.125
Cu 0.625 0.125 0.125
Si 0.500 0.500 0.500
Ni 0.750 0.750 0.750

---

# 5
## CuSi3Ni (PBE)

Data for an optimized crystal structure of CuSi3Ni.

## Properties
**Final energy**: -0.3429 Ry/atom
**Density**: 4085 kg/m3
**Formation energy from raw total energies**: 564 meV/atom
**N(E_F)**: 3.0 states/eV per cell
**Magnetization**: 0.00 μB per cell

a b c (Å): 4.379 4.379 4.379
angles (deg): 90.00 90.00 90.00
Sites, in units of the cell vectors:
Cu 0.000 0.000 0.000
Si 0.000 0.500 0.500
Si 0.500 0.000 0.500
Si 0.500 0.500 0.000
Ni 0.500 0.500 0.500

---

# 6
## Cu8SiNi2 (PBE)

Data for an optimized crystal structure of Cu8SiNi2.

## Properties
**Final energy**: -0.3224 Ry/atom
**Density**: 7583 kg/m3
**Formation energy from raw total energies**: 136 meV/atom
**N(E_F)**: 5.4 states/eV per cell
**Magnetization**: 0.00 μB per cell

a b c (Å): 6.291 6.291 4.276
angles (deg): 101.85 101.85 60.61
Sites, in units of the cell vectors:
Cu 0.122 0.741 0.709
Cu 0.148 0.148 0.845
Cu 0.259 0.878 0.291
Cu 0.273 0.273 0.420
Cu 0.727 0.727 0.580
Cu 0.741 0.122 0.709
Cu 0.852 0.852 0.155
Cu 0.878 0.259 0.291
Si 0.500 0.500 0.500
Ni 0.385 0.385 0.990
Ni 0.615 0.615 0.010

---

# 7
## Cu2Si7Ni12 (PBE)

Data for an optimized crystal structure of Cu2Si7Ni12.

## Properties
**Final energy**: -0.4391 Ry/atom
**Density**: 7160 kg/m3
**Formation energy from raw total energies**: -473 meV/atom
**N(E_F)**: 7.9 states/eV per cell
**Magnetization**: 0.00 μB per cell

a b c (Å): 10.006 10.006 2.750
angles (deg): 90.00 90.00 120.00
Sites, in units of the cell vectors:
Cu 0.000 0.000 0.000
Cu 0.333 0.667 0.500
Si 0.083 0.625 0.000
Si 0.250 0.042 0.500
Si 0.375 0.458 0.000
Si 0.542 0.917 0.000
Si 0.667 0.333 0.000
Si 0.792 0.750 0.500
Si 0.958 0.208 0.500
Ni 0.048 0.800 0.500
Ni 0.129 0.421 0.000
Ni 0.200 0.247 0.500
Ni 0.292 0.871 0.000
Ni 0.409 0.244 0.000
Ni 0.513 0.097 0.500
Ni 0.579 0.708 0.000
Ni 0.584 0.487 0.500
Ni 0.753 0.952 0.500
Ni 0.756 0.165 0.000
Ni 0.835 0.591 0.000
Ni 0.903 0.416 0.500

---

# 8
## CuSiNi3 (PBE)

Data for an optimized crystal structure of CuSiNi3.

## Properties
**Final energy**: -0.3604 Ry/atom
**Density**: 6171 kg/m3
**Formation energy from raw total energies**: 469 meV/atom
**N(E_F)**: 5.4 states/eV per cell
**Magnetization**: 0.00 μB per cell

a b c (Å): 4.161 4.161 4.161
angles (deg): 90.00 90.00 90.00
Sites, in units of the cell vectors:
Cu 0.000 0.000 0.000
Si 0.500 0.500 0.500
Ni 0.000 0.500 0.500
Ni 0.500 0.000 0.500
Ni 0.500 0.500 0.000

---

# 9
## CuSiNi6 (PBE)

Data for an optimized crystal structure of CuSiNi6.

## Properties
**Final energy**: -0.4206 Ry/atom
**Density**: 8424 kg/m3
**Formation energy from raw total energies**: -196 meV/atom
**N(E_F)**: 36.0 states/eV per cell
**Magnetization**: 7.29 μB per cell

a b c (Å): 6.102 6.102 9.971
angles (deg): 90.00 90.00 109.53
Sites, in units of the cell vectors:
Cu 0.000 0.000 0.249
Cu 0.000 0.000 0.751
Cu 0.247 0.753 0.000
Cu 0.753 0.247 0.000
Si 0.246 0.754 0.500
Si 0.500 0.500 0.248
Si 0.500 0.500 0.752
Si 0.754 0.246 0.500
Ni 0.000 0.000 0.000
Ni 0.000 0.000 0.500
Ni 0.128 0.380 0.377
Ni 0.128 0.380 0.623
Ni 0.130 0.379 0.127
Ni 0.130 0.379 0.873
Ni 0.252 0.748 0.254
Ni 0.252 0.748 0.746
Ni 0.379 0.130 0.127
Ni 0.379 0.130 0.873
Ni 0.380 0.128 0.377
Ni 0.380 0.128 0.623
Ni 0.500 0.500 0.000
Ni 0.500 0.500 0.500
Ni 0.620 0.872 0.377
Ni 0.620 0.872 0.623
Ni 0.621 0.870 0.127
Ni 0.621 0.870 0.873
Ni 0.748 0.252 0.254
Ni 0.748 0.252 0.746
Ni 0.870 0.621 0.127
Ni 0.870 0.621 0.873
Ni 0.872 0.620 0.377
Ni 0.872 0.620 0.623

---

# 10
## CuSiNi4 (PBE)

Data for an optimized crystal structure of CuSiNi4.

## Properties
**Final energy**: -0.4167 Ry/atom
**Density**: 8170 kg/m3
**Formation energy from raw total energies**: -229 meV/atom
**N(E_F)**: 4.6 states/eV per cell
**Magnetization**: 0.00 μB per cell

a b c (Å): 4.454 4.454 6.475
angles (deg): 111.54 111.54 34.01
Sites, in units of the cell vectors:
Cu 0.000 0.000 0.000
Si 0.000 0.000 0.500
Ni 0.329 0.329 0.181
Ni 0.348 0.348 0.657
Ni 0.652 0.652 0.343
Ni 0.671 0.671 0.819

---

# 11
## CuSiNi4 (PBE)

Data for an optimized crystal structure of CuSiNi4.

## Properties
**Final energy**: -0.4097 Ry/atom
**Density**: 7893 kg/m3
**Formation energy from raw total energies**: -134 meV/atom
**N(E_F)**: 10.6 states/eV per cell
**Magnetization**: 0.00 μB per cell

a b c (Å): 7.846 7.139 4.807
angles (deg): 79.49 63.47 37.04
Sites, in units of the cell vectors:
Cu 0.125 0.125 0.125
Cu 0.875 0.875 0.875
Si 0.375 0.375 0.375
Si 0.625 0.625 0.625
Ni 0.040 0.522 0.223
Ni 0.223 0.715 0.040
Ni 0.285 0.777 0.478
Ni 0.478 0.960 0.285
Ni 0.522 0.040 0.715
Ni 0.715 0.223 0.522
Ni 0.777 0.285 0.960
Ni 0.960 0.478 0.777

---

# 12
## CuSiNi3 (PBE)

Data for an optimized crystal structure of CuSiNi3.

## Properties
**Final energy**: -0.4003 Ry/atom
**Density**: 7478 kg/m3
**Formation energy from raw total energies**: -73 meV/atom
**N(E_F)**: 9.8 states/eV per cell
**Magnetization**: 0.02 μB per cell

a b c (Å): 4.632 4.632 11.052
angles (deg): 107.78 107.78 31.92
Sites, in units of the cell vectors:
Cu 0.198 0.198 0.173
Cu 0.802 0.802 0.827
Si 0.497 0.497 0.237
Si 0.503 0.503 0.763
Ni 0.121 0.121 0.937
Ni 0.137 0.137 0.413
Ni 0.394 0.394 0.399
Ni 0.606 0.606 0.601
Ni 0.863 0.863 0.587
Ni 0.879 0.879 0.063

---

- The highest final energy belongs to which entry?
  Cu8SiNi2

---

- Which value of density does entry 4 give?
  7560 kg/m3

---

- Among the records above, which one has the lowest final energy?
  Cu2Si7Ni12